No. 1
# La5Te4

An optimized crystal structure of La5Te4 (PBE, the Alexandria database).

Summary:
As for the spin magnetization: 0.11 μB/cell. As for the total energy: -0.201 hartree per atom.

Cell lengths 9.675, 9.675, 6.929 Å; angles 90.00, 90.00, 120.00 degrees
Positions (direct):
La 0.000 0.725 0.250
La 0.275 0.275 0.250
La 0.725 0.000 0.250
La 0.000 0.275 0.750
La 0.725 0.725 0.750
La 0.275 0.000 0.750
La 0.667 0.333 0.000
La 0.333 0.667 0.500
La 0.333 0.667 0.000
La 0.667 0.333 0.500
Te 0.000 0.000 0.000
Te 0.000 0.000 0.500
Te 0.000 0.386 0.250
Te 0.614 0.614 0.250
Te 0.386 0.000 0.250
Te 0.000 0.614 0.750
Te 0.386 0.386 0.750
Te 0.614 0.000 0.750

=====

No. 2
# La4Te3

An optimized crystal structure of La4Te3 (PBE, the Alexandria database).

Summary:
As for the spin magnetization: 0.00 μB/cell. As for the total energy: -0.202 hartree per atom. The value obtained for the distance to the lowest polymorph of the same formula is 0.000 eV/atom.

Cell lengths 8.329, 8.329, 8.329 Å; angles 109.47, 109.47, 109.47 degrees
Positions (direct):
La 0.357 0.500 0.000
La 0.500 0.357 0.500
La 0.000 0.000 0.357
La 0.643 0.143 0.143
La 0.000 0.000 0.857
La 0.143 0.643 0.643
La 0.857 0.500 0.000
La 0.500 0.857 0.500
Te 0.125 0.375 0.250
Te 0.625 0.750 0.875
Te 0.875 0.250 0.625
Te 0.250 0.875 0.125
Te 0.750 0.625 0.375
Te 0.375 0.125 0.750

=====

No. 3
# LaTe3

An optimized crystal structure of LaTe3 (PBE, the Alexandria database).

Summary:
As for the spin magnetization: 0.00 μB/cell. As for the total energy: -0.161 hartree per atom.

Cell lengths 17.595, 17.595, 4.269 Å; angles 90.00, 90.00, 166.07 degrees
Positions (direct):
La 0.904 0.096 0.250
La 0.096 0.904 0.750
Te 0.812 0.188 0.250
Te 0.188 0.812 0.750
Te 0.673 0.327 0.250
Te 0.327 0.673 0.750
Te 0.558 0.442 0.250
Te 0.442 0.558 0.750

=====

No. 4
# LaTe3

An optimized crystal structure of LaTe3 (PBE, the Alexandria database).

Summary:
As for the spin magnetization: 0.00 μB/cell. As for the total energy: -0.161 hartree per atom.

Cell lengths 4.372, 4.372, 6.624 Å; angles 90.00, 90.00, 90.01 degrees
Positions (direct):
La 0.000 0.000 0.000
Te 0.500 0.500 0.777
Te 0.000 0.000 0.500
Te 0.500 0.500 0.223

=====

No. 5
# LaTe3

An optimized crystal structure of LaTe3 (PBE, the Alexandria database).

Summary:
As for the spin magnetization: 0.00 μB/cell. As for the total energy: -0.160 hartree per atom.

Cell lengths 5.260, 5.260, 4.442 Å; angles 90.00, 90.00, 98.77 degrees
Positions (direct):
La 0.000 0.000 0.000
Te 0.000 0.500 0.500
Te 0.500 0.000 0.500
Te 0.500 0.500 0.000

=====

No. 6
# LaTe2

An optimized crystal structure of LaTe2 (PBE, the Alexandria database).

Summary:
As for the spin magnetization: 0.00 μB/cell. As for the total energy: -0.183 hartree per atom.

Cell lengths 8.645, 8.645, 4.509 Å; angles 90.00, 90.00, 120.00 degrees
Positions (direct):
La 0.333 0.667 0.000
La 0.667 0.333 0.000
La 0.000 0.000 0.500
Te 0.263 0.000 0.000
Te 0.000 0.263 0.000
Te 0.737 0.737 0.000
Te 0.593 0.000 0.500
Te 0.000 0.593 0.500
Te 0.407 0.407 0.500

=====

No. 7
# LaTe2

An optimized crystal structure of LaTe2 (PBE, the Alexandria database).

Summary:
As for the spin magnetization: 0.00 μB/cell. As for the total energy: -0.184 hartree per atom.

Cell lengths 4.535, 6.102, 8.374 Å; angles 76.30, 89.92, 74.26 degrees
Positions (direct):
Te 0.721 0.500 0.151
Te 0.940 0.908 0.950
Te 0.944 0.894 0.452
Te 0.146 0.303 0.743
La 0.513 0.719 0.735
La 0.368 0.085 0.172

=====

No. 8
# La5Te

An optimized crystal structure of La5Te (PBE, the Alexandria database).

Summary:
As for the spin magnetization: 0.00 μB/cell. As for the total energy: -0.170 hartree per atom. The value obtained for the distance to the lowest polymorph of the same formula is 0.441 eV/atom.

Cell lengths 6.642, 6.642, 6.642 Å; angles 60.00, 60.00, 60.00 degrees
Positions (direct):
La 0.250 0.250 0.250
La 0.622 0.622 0.622
La 0.135 0.622 0.622
La 0.622 0.135 0.622
La 0.622 0.622 0.135
Te 0.000 0.000 0.000

=====

No. 9
# La3Te2

An optimized crystal structure of La3Te2 (PBE, the Alexandria database).

Summary:
As for the spin magnetization: 0.00 μB/cell. As for the total energy: -0.194 hartree per atom.

Cell lengths 7.757, 7.757, 8.646 Å; angles 63.35, 63.35, 60.00 degrees
Positions (direct):
Te 0.836 0.836 0.492
Te 0.336 0.336 0.992
Te 0.164 0.164 0.508
Te 0.664 0.664 0.008
La 0.083 0.750 0.750
La 0.750 0.417 0.750
La 0.417 0.083 0.750
La 0.250 0.583 0.250
La 0.583 0.917 0.250
La 0.917 0.250 0.250

=====

No. 10
# La3Te2

An optimized crystal structure of La3Te2 (PBE, the Alexandria database).

Summary:
As for the spin magnetization: 0.59 μB/cell. As for the total energy: -0.194 hartree per atom.

Cell lengths 5.414, 5.414, 6.729 Å; angles 90.00, 90.00, 120.00 degrees
Site moments in Bohr magnetons follow the coordinates.
Positions (direct):
La 0.000 0.000 0.000  0.09
La 0.667 0.333 0.676  0.08
La 0.333 0.667 0.324  0.08
Te 0.667 0.333 0.189  0.00
Te 0.333 0.667 0.811  0.00

=====

No. 11
# La4Te5

An optimized crystal structure of La4Te5 (PBE, the Alexandria database).

Summary:
As for the spin magnetization: 0.01 μB/cell. As for the total energy: -0.192 hartree per atom.

Cell lengths 4.155, 9.195, 9.195 Å; angles 63.57, 76.95, 76.95 degrees
Positions (direct):
La 0.366 0.600 0.668
La 0.366 0.001 0.266
La 0.634 0.734 0.999
La 0.634 0.332 0.400
Te 0.000 0.016 0.984
Te 0.000 0.318 0.682
Te 0.000 0.667 0.333
Te 0.257 0.409 0.076
Te 0.743 0.924 0.591

=====

No. 12
# La4Te

An optimized crystal structure of La4Te (PBE, the Alexandria database).

Summary:
As for the spin magnetization: 1.41 μB/cell. As for the total energy: -0.175 hartree per atom. The value obtained for the distance to the lowest polymorph of the same formula is 0.048 eV/atom.

Cell lengths 6.365, 6.365, 6.365 Å; angles 109.47, 109.47, 109.47 degrees
Site moments in Bohr magnetons follow the coordinates.
Positions (direct):
La 0.500 0.000 0.000  0.17
La 0.500 0.500 0.500  0.17
La 0.000 0.500 0.000  0.17
La 0.000 0.000 0.500  0.17
Te 0.000 0.000 0.000  0.00

=====

No. 13
# La5Te

An optimized crystal structure of La5Te (PBE, the Alexandria database).

Summary:
As for the spin magnetization: 0.00 μB/cell. As for the total energy: -0.182 hartree per atom. The value obtained for the distance to the lowest polymorph of the same formula is 0.100 eV/atom.

Cell lengths 6.295, 6.295, 5.882 Å; angles 90.00, 90.00, 120.00 degrees
Positions (direct):
La 0.697 0.000 0.000
La 0.303 0.303 0.000
La 0.000 0.697 0.000
La 0.667 0.333 0.500
La 0.333 0.667 0.500
Te 0.000 0.000 0.500